A relaxed BaNdFeCoO6 crystal, computed with PBE with a Hubbard U.

Computed properties:
As for the space group: P4mm. Its total energy is -6.718 eV per atom. The magnetic moment comes out at 5.98 μB/cell.

Unit cell a=3.909 b=3.909 c=7.913 alpha=90.00 beta=90.00 gamma=90.00
Atoms (fractional coordinates):
Ba 0.000 0.000 0.000
Nd 0.000 0.000 0.507
Fe 0.500 0.500 0.257
Co 0.500 0.500 0.752
O 0.000 0.500 0.279
O 0.000 0.500 0.726
O 0.500 0.000 0.279
O 0.500 0.000 0.726
O 0.500 0.500 0.005
O 0.500 0.500 0.510